No. 1
A geometry-optimized Ac2HgGe3Pt4 structure. Source: Alexandria via LeMat-Bulk, functional PBE-GGA.

* E_form: -0.8300 eV per atom
* spin magnetization: 0.00 μB per formula unit
* calculated volume: 215.25 Å³/f.u.

a b c (Å): 4.5053 4.5053 10.6048
angles (deg): 90.00 90.00 90.00
Last column: nearest neighbours and their distance in Å.
Sites, in units of the cell vectors:
Ac 0.5000 0.0000 0.2471  8 Pt 3.37-3.46, 6 Ge 3.47-3.50, 2 Hg 3.50
Ac 0.0000 0.5000 0.7529  8 Pt 3.37-3.46, 6 Ge 3.47-3.50, 2 Hg 3.50
Hg 0.5000 0.5000 0.5000  4 Pt 2.75
Ge 0.0000 0.0000 0.5000  4 Pt 2.75
Ge 0.0000 0.5000 0.1178  5 Pt 2.47-2.58
Ge 0.5000 0.0000 0.8822  5 Pt 2.47-2.58
Pt 0.5000 0.0000 0.6495  3 Ge 2.47-2.75, 2 Hg 2.75
Pt 0.5000 0.5000 0.0000  4 Ge 2.58
Pt 0.0000 0.5000 0.3505  3 Ge 2.47-2.75, 2 Hg 2.75
Pt 0.0000 0.0000 0.0000  4 Ge 2.58

No. 2
A geometry-optimized Ac2HgGePt6 structure. Source: Alexandria via LeMat-Bulk, functional PBE-GGA.

* E_form: -0.7499 eV per atom
* spin magnetization: 0.00 μB per formula unit
* calculated volume: 224.77 Å³/f.u.

a b c (Å): 6.7429 7.1368 7.1362
angles (deg): 45.98 79.29 97.88
Last column: nearest neighbours and their distance in Å.
Sites, in units of the cell vectors:
Pt 0.2632 0.2418 0.4852  1 Ge 2.49, 1 Hg 2.75, 3 Pt 2.75-2.77
Pt 0.0981 0.2512 0.1530  1 Ge 2.56, 1 Hg 2.74, 4 Pt 2.76-2.77
Pt 0.2632 0.7481 0.9789  1 Ge 2.49, 1 Hg 2.75, 3 Pt 2.75-2.77
Pt 0.7368 0.7582 0.5148  1 Ge 2.49, 1 Hg 2.75, 3 Pt 2.75-2.77
Pt 0.9019 0.7488 0.8470  1 Ge 2.56, 1 Hg 2.74, 4 Pt 2.76-2.77
Pt 0.7368 0.2519 0.0211  1 Ge 2.49, 1 Hg 2.75, 3 Pt 2.75-2.77
Ge 0.5000 0.5000 0.0000  6 Pt 2.49-2.56
Ac 0.7187 0.2549 0.5371  7 Pt 3.16-3.47
Ac 0.2813 0.7451 0.4629  7 Pt 3.16-3.47
Hg 0.0000 0.0000 0.0000  6 Pt 2.74-2.75

No. 3
A geometry-optimized Ac3HgGe2Pt6 structure. Source: Alexandria via LeMat-Bulk, functional PBE-GGA.

* E_form: -0.7813 eV per atom
* spin magnetization: 0.00 μB per formula unit
* calculated volume: 294.70 Å³/f.u.

a b c (Å): 5.7595 5.7595 10.2584
angles (deg): 90.00 90.00 120.00
Last column: nearest neighbours and their distance in Å.
Sites, in units of the cell vectors:
Pt 0.6713 0.8356 0.2741  1 Ge 2.49
Pt 0.1644 0.3287 0.2741  1 Ge 2.49
Pt 0.3287 0.1644 0.7259  1 Ge 2.49
Pt 0.8356 0.1644 0.7259  1 Ge 2.49
Pt 0.1644 0.8356 0.2741  1 Ge 2.49
Pt 0.8356 0.6713 0.7259  1 Ge 2.49
Ac 0.6667 0.3333 0.3868  6 Pt 3.10
Ac 0.0000 0.0000 0.0000  6 Pt 3.26, 6 Ge 3.47
Ac 0.3333 0.6667 0.6132  6 Pt 3.10
Ge 0.6667 0.3333 0.9047  3 Pt 2.49
Ge 0.3333 0.6667 0.0953  3 Pt 2.49
Hg 0.0000 0.0000 0.5000  6 Pt 2.84

No. 4
A geometry-optimized Ac2Hg2GePt4 structure. Source: Alexandria via LeMat-Bulk, functional PBE-GGA.

* E_form: -0.6386 eV per atom
* spin magnetization: 0.00 μB per formula unit
* calculated volume: 208.57 Å³/f.u.

a b c (Å): 6.5643 6.5643 6.5643
angles (deg): 95.62 116.81 116.81
Last column: nearest neighbours and their distance in Å.
Sites, in units of the cell vectors:
Ac 0.5000 0.2500 0.7500  8 Pt 3.28, 4 Hg 3.50
Ac 0.5000 0.7500 0.2500  8 Pt 3.28, 4 Hg 3.50
Hg 0.0000 0.6791 0.6791  1 Ge 2.83, 4 Pt 2.88, 1 Hg 3.16
Hg 0.0000 0.3209 0.3209  1 Ge 2.83, 4 Pt 2.88, 1 Hg 3.16
Pt 0.0000 0.7476 0.2524  1 Ge 2.45
Pt 0.0000 0.2524 0.7476  1 Ge 2.45
Pt 0.4953 0.7476 0.7476  1 Ge 2.45
Pt 0.5047 0.2524 0.2524  1 Ge 2.45
Ge 0.0000 0.0000 0.0000  4 Pt 2.45

No. 5
A geometry-optimized AcPuHgGe structure. Source: Alexandria via LeMat-Bulk, functional PBE-GGA.

* E_form: -0.3395 eV per atom
* spin magnetization: 6.64 μB per formula unit
* calculated volume: 113.80 Å³/f.u.

a b c (Å): 5.4394 5.4394 5.4394
angles (deg): 60.00 60.00 60.00
Last column: nearest neighbours and their distance in Å.
Sites, in units of the cell vectors:
Ac 0.7500 0.7500 0.7500  4 Ge 3.33, 4 Hg 3.33
Ge 0.0000 0.0000 0.0000  4 Ac 3.33, 4 Pu 3.33
Hg 0.5000 0.5000 0.5000  4 Ac 3.33, 4 Pu 3.33
Pu 0.2500 0.2500 0.2500  4 Hg 3.33, 4 Ge 3.33

No. 6
A geometry-optimized AcHgGeS4 structure. Source: Alexandria via LeMat-Bulk, functional PBE-GGA.

* raw formation energy: -842 meV per atom
* spin magnetization: 0.00 μB per formula unit
* calculated volume: 196.12 Å³/f.u.

a b c (Å): 7.1253 6.2818 9.1179
angles (deg): 90.00 106.04 90.00
Last column: nearest neighbours and their distance in Å.
Sites, in units of the cell vectors:
S 0.9933 0.4805 0.2769  1 Ge 2.20
S 0.3814 0.7500 0.5475  1 Ge 2.28
S 0.3937 0.7500 0.1443  1 Ge 2.25
S 0.6063 0.2500 0.8557  1 Ge 2.25
S 0.9933 0.0195 0.2769  1 Ge 2.20
S 0.6186 0.2500 0.4525  1 Ge 2.28
S 0.0067 0.9805 0.7231  1 Ge 2.20
S 0.0067 0.5195 0.7231  1 Ge 2.20
Hg 0.6296 0.7500 0.8855  4 S 3.10-3.25
Hg 0.3704 0.2500 0.1145  4 S 3.10-3.25
Ac 0.2459 0.2500 0.5589  8 S 3.06-3.30
Ac 0.7541 0.7500 0.4411  8 S 3.06-3.30
Ge 0.1972 0.7500 0.2998  4 S 2.20-2.28
Ge 0.8028 0.2500 0.7002  4 S 2.20-2.28

No. 7
A geometry-optimized AcScHgGe structure. Source: Alexandria via LeMat-Bulk, functional PBE-GGA.

* E_form: -0.4090 eV per atom
* spin magnetization: 0.00 μB per formula unit
* calculated volume: 105.37 Å³/f.u.

a b c (Å): 5.3016 5.3016 5.3016
angles (deg): 60.00 60.00 60.00
Last column: nearest neighbours and their distance in Å.
Sites, in units of the cell vectors:
Sc 0.5000 0.5000 0.5000  4 Ge 3.25, 4 Hg 3.25
Hg 0.7500 0.7500 0.7500  4 Ac 3.25, 4 Sc 3.25
Ac 0.0000 0.0000 0.0000  4 Hg 3.25, 4 Ge 3.25
Ge 0.2500 0.2500 0.2500  4 Ac 3.25, 4 Sc 3.25

No. 8
A geometry-optimized Ac2SiHgGe structure. Source: Alexandria via LeMat-Bulk, functional PBE-GGA.

* raw formation energy: -518 meV per atom
* spin magnetization: 0.00 μB per formula unit
* calculated volume: 150.01 Å³/f.u.

a b c (Å): 4.6963 7.6102 8.3942
angles (deg): 89.99 90.00 90.00
Last column: nearest neighbours and their distance in Å.
Sites, in units of the cell vectors:
Ac 0.2500 0.2364 0.0063  3 Ge 3.28-3.31, 3 Hg 3.37-3.56, 3 Si 3.39-3.43
Ac 0.7500 0.7635 0.5061  3 Ge 3.28-3.31, 3 Hg 3.37-3.56, 3 Si 3.39-3.43
Ac 0.7500 0.7636 0.9937  3 Ge 3.28-3.31, 3 Hg 3.37-3.56, 3 Si 3.39-3.43
Ac 0.2500 0.2365 0.4939  3 Ge 3.28-3.31, 3 Hg 3.37-3.56, 3 Si 3.39-3.43
Si 0.7500 0.4129 0.2500  1 Ge 2.46
Si 0.2500 0.5871 0.7500  1 Ge 2.46
Hg 0.7500 0.3813 0.7502  2 Si 2.82
Hg 0.2500 0.6187 0.2498  2 Si 2.82
Ge 0.2500 0.9108 0.7500  1 Si 2.46
Ge 0.7500 0.0892 0.2500  1 Si 2.46